# PBE ZrTcPH, optimized geometry
# Electronic total energy   -60.4 eV per cell
data_ZrTcPH
_chemical_formula_sum 'Zr2 Tc2 P2 H2'
_symmetry_space_group_name_H-M 'P 4/n m m'
_symmetry_Int_Tables_number 129
_cell_length_a 3.9330
_cell_length_b 3.9330
_cell_length_c 6.6953
_cell_angle_alpha 90.00
_cell_angle_beta 90.00
_cell_angle_gamma 90.00
loop_
_symmetry_equiv_pos_as_xyz
'x,y,z'
'-x,-y,-z'
'-y+1/2,x,z'
'y+1/2,-x,-z'
'-x+1/2,-y+1/2,z'
'x+1/2,y+1/2,-z'
'y,-x+1/2,z'
'-y,x+1/2,-z'
'x+1/2,-y,-z'
'-x+1/2,y,z'
'-y,-x,-z'
'y,x,z'
'-x,y+1/2,-z'
'x,-y+1/2,z'
'y+1/2,x+1/2,-z'
'-y+1/2,-x+1/2,z'
loop_
_atom_site_label
_atom_site_type_symbol
_atom_site_fract_x
_atom_site_fract_y
_atom_site_fract_z
Zr1 Zr 0.2500 0.2500 0.1526
Tc1 Tc 0.2500 0.7500 0.5000
P1 P 0.2500 0.2500 0.6991
H1 H 0.2500 0.7500 0.0000